*1*
# LaTa2NO5 meta-GGA SCAN single point on PBEsol structure
data_LaTa2NO5
_chemical_formula_sum 'La4 Ta8 N4 O20'
_symmetry_space_group_name_H-M 'P 1'
_symmetry_Int_Tables_number 1
_cell_length_a 5.463
_cell_length_b 7.654
_cell_length_c 11.146
_cell_angle_alpha 90.02
_cell_angle_beta 90.06
_cell_angle_gamma 90.01
loop_
_symmetry_equiv_pos_as_xyz
'x,y,z'
loop_
_atom_site_label
_atom_site_type_symbol
_atom_site_fract_x
_atom_site_fract_y
_atom_site_fract_z
La1 La 0.000 0.000 0.000
La2 La 0.090 0.506 0.076
La3 La 0.494 0.505 0.580
La4 La 0.593 0.000 0.503
Ta1 Ta 0.006 0.256 0.684
Ta2 Ta 0.007 0.752 0.682
Ta3 Ta 0.078 0.247 0.398
Ta4 Ta 0.079 0.747 0.391
Ta5 Ta 0.504 0.755 0.896
Ta6 Ta 0.506 0.250 0.896
Ta7 Ta 0.586 0.249 0.184
Ta8 Ta 0.595 0.753 0.187
N1 N 0.002 0.004 0.394
N2 N 0.089 0.503 0.688
N3 N 0.594 0.004 0.895
N4 N 0.918 0.692 0.244
O1 O 0.167 0.812 0.832
O2 O 0.169 0.195 0.833
O3 O 0.204 0.503 0.420
O4 O 0.271 0.216 0.565
O5 O 0.278 0.791 0.570
O6 O 0.315 0.218 0.066
O7 O 0.318 0.787 0.062
O8 O 0.393 0.502 0.919
O9 O 0.419 0.201 0.330
O10 O 0.422 0.806 0.332
O11 O 0.493 0.501 0.184
O12 O 0.668 0.309 0.749
O13 O 0.668 0.697 0.749
O14 O 0.687 0.005 0.162
O15 O 0.771 0.291 0.018
O16 O 0.772 0.715 0.014
O17 O 0.814 0.290 0.516
O18 O 0.818 0.716 0.516
O19 O 0.886 0.003 0.662
O20 O 0.912 0.314 0.249
# Volume: 466.0 Å³ per cell
# Magnetization: 0.0000 μB per atom


*2*
# LaTa2NO5 meta-GGA SCAN single point on PBEsol structure
data_LaTa2NO5
_chemical_formula_sum 'La4 Ta8 N4 O20'
_symmetry_space_group_name_H-M 'P 1 21 1'
_symmetry_Int_Tables_number 4
_cell_length_a 5.465
_cell_length_b 11.164
_cell_length_c 7.643
_cell_angle_alpha 90.00
_cell_angle_beta 90.10
_cell_angle_gamma 90.00
loop_
_symmetry_equiv_pos_as_xyz
'x,y,z'
'-x,y+1/2,-z'
loop_
_atom_site_label
_atom_site_type_symbol
_atom_site_fract_x
_atom_site_fract_y
_atom_site_fract_z
La1 La 0.203 0.000 0.499
La2 La 0.292 0.923 0.001
Ta1 Ta 0.205 0.318 0.752
Ta2 Ta 0.220 0.324 0.247
Ta3 Ta 0.289 0.615 0.244
Ta4 Ta 0.293 0.608 0.753
N1 N 0.127 0.759 0.197
N2 N 0.302 0.320 0.001
O1 O 0.023 0.494 0.786
O2 O 0.029 0.490 0.215
O3 O 0.102 0.347 0.499
O4 O 0.121 0.754 0.802
O5 O 0.206 0.609 0.501
O6 O 0.376 0.172 0.689
O7 O 0.379 0.174 0.311
O8 O 0.404 0.588 0.999
O9 O 0.477 0.445 0.713
O10 O 0.490 0.437 0.289
# Volume: 466.3 Å³ per cell
# Magnetization: 0.0000 μB per atom


Relative energies, in kJ/mol of atoms, with the most stable structure set to zero: *1* 0.9; *2* 0.0.